{"formula": "Dy3YIn", "functional": "GGA-PBE", "state": "optimized geometry", "lattice": [[-2.141, -3.928, 1.774], [3.294, -2.763, -2.144], [6.207, -1.279, 11.185]], "species": ["In", "In", "Dy", "Dy", "Dy", "Dy", "Dy", "Dy", "Y", "Y"], "fractional_positions": [[0.977, 0.250, 0.695], [0.672, 0.750, 0.305], [0.373, 0.250, 0.902], [0.074, 0.750, 0.500], [0.772, 0.250, 0.104], [0.275, 0.750, 0.098], [0.876, 0.750, 0.896], [0.574, 0.250, 0.500], [0.175, 0.250, 0.299], [0.474, 0.750, 0.701]], "final_energy_ev_per_atom": -4.792, "space_group": "Cmcm"}

=====

{"formula": "LaDyPt2", "functional": "GGA-PBE", "state": "optimized geometry", "lattice": [[-0.343, 3.508, -0.452], [-3.442, -0.436, -0.770], [-1.663, 0.741, 7.009]], "species": ["Pt", "Pt", "La", "Dy"], "fractional_positions": [[0.000, 0.000, 0.773], [0.000, 0.000, 0.227], [0.500, 0.500, 0.500], [0.500, 0.500, 0.000]], "final_energy_ev_per_atom": -6.547, "space_group": "P4/mmm"}

=====

{"formula": "Si2As", "functional": "GGA-PBE", "state": "optimized geometry", "lattice": [[-1.504, 3.020, 1.308], [0.200, -1.351, 3.350], [3.783, 1.687, 0.455]], "species": ["Si", "Si", "As"], "fractional_positions": [[0.000, 0.500, 0.500], [0.500, 0.000, 0.500], [0.000, 0.000, 0.000]], "e_form_raw_mev_per_atom": 430.9, "space_group": "P4/mmm"}

=====

{"formula": "Tb2AgIr", "functional": "GGA-PBE", "state": "optimized geometry", "lattice": [[-3.635, 1.532, -3.062], [-3.869, -3.001, -0.979], [-4.520, 1.075, 1.832]], "species": ["Ir", "Tb", "Tb", "Ag"], "fractional_positions": [[0.000, 0.000, 0.000], [0.750, 0.750, 0.750], [0.250, 0.250, 0.250], [0.500, 0.500, 0.500]], "final_energy_ev_per_atom": -5.823, "space_group": "Fm-3m"}

=====

{"formula": "LuThInCu", "functional": "GGA-PBE", "state": "optimized geometry", "lattice": [[5.205, 0.000, 0.000], [2.602, 4.508, 0.000], [2.602, 1.503, 4.250]], "species": ["In", "Th", "Lu", "Cu"], "fractional_positions": [[0.750, 0.750, 0.750], [0.500, 0.500, 0.500], [0.000, 0.000, 0.000], [0.250, 0.250, 0.250]], "final_energy_ev_per_atom": -4.853, "space_group": "F-43m"}

=====

{"formula": "SiTcAsSe2", "functional": "GGA-PBE", "state": "optimized geometry", "lattice": [[4.956, 0.000, 0.000], [0.000, 4.956, 0.000], [0.000, 0.000, 4.684]], "species": ["Se", "Se", "Tc", "Si", "As"], "fractional_positions": [[0.000, 0.500, 0.000], [0.500, 0.000, 0.000], [0.000, 0.000, 0.000], [0.500, 0.500, 0.500], [0.000, 0.000, 0.500]], "e_form_raw_mev_per_atom": 705.6, "space_group": "P4/mmm"}

=====

{"formula": "Rb3LaAl", "functional": "GGA-PBE", "state": "optimized geometry", "lattice": [[-5.655, 1.116, 4.213], [-3.362, -5.509, -3.053], [2.774, -4.402, 4.889]], "species": ["Rb", "Rb", "Rb", "La", "Al"], "fractional_positions": [[0.500, 0.000, 0.000], [0.000, 0.500, 0.000], [0.000, 0.000, 0.500], [0.000, 0.000, 0.000], [0.500, 0.500, 0.500]], "final_energy_ev_per_atom": -1.138, "space_group": "Pm-3m"}

=====

DOS at the Fermi energy (computed, states/eV/f.u.): 5.8 2.9 1.3 3.0 4.9 6.5 9.7